[1]
First-principles (PBE) data for a relaxed structure of La3IrO7, as listed in OQMD.

The calculation puts the electronic total energy at -7.93 eV/atom. As for the calculated density: 7.6 g cm⁻³.

It has space group Cmcm (No. 63), with a = 11.1746 Å, b = 7.4316 Å, c = 7.6017 Å, α = 90.00°, β = 90.00° and γ = 90.00°. The distinct sites, in fractional coordinates, are La at (0.0000, 0.0000, 0.0000), La at (0.2215, 0.3143, 0.2500), Ir at (0.0000, 0.5000, 0.0000), O at (0.0000, 0.4099, 0.2500), O at (0.1259, 0.3161, 0.5432) and O at (0.1297, 0.0309, 0.2500).

[2]
First-principles (PBE) data for a relaxed structure of Nd2Co14B, as listed in OQMD.

The calculation puts the electronic total energy at -6.92 eV/atom. As for the calculated density: 8.5 g cm⁻³.

It has space group P4_2/mnm (No. 136), with a = 8.6039 Å, b = 8.6039 Å, c = 11.8175 Å, α = 90.00°, β = 90.00° and γ = 90.00°. The distinct sites, in fractional coordinates, are Nd at (0.1447, 0.1447, 0.0000), Nd at (0.2245, 0.2245, 0.5000), Co at (0.0000, 0.0000, 0.3836), Co at (0.0000, 0.5000, 0.0000), Co at (0.0363, 0.6395, 0.1791), Co at (0.0697, 0.7243, 0.3728), Co at (0.0987, 0.9013, 0.2063), Co at (0.1819, 0.1819, 0.2530) and B at (0.1219, 0.8781, 0.5000).

[3]
First-principles (PBE) data for a relaxed structure of TmCo6Ge4, as listed in OQMD.

The calculation puts the electronic total energy at -6.33 eV/atom. As for the calculated density: 9.2 g cm⁻³.

It has space group P-6m2 (No. 187), with a = 6.7813 Å, b = 6.7813 Å, c = 3.6760 Å, α = 90.00°, β = 90.00° and γ = 120.00°. The distinct sites, in fractional coordinates, are Tm at (0.0000, 0.0000, 0.0000), Co at (0.2051, 0.4103, 0.5000), Co at (0.5350, 0.0701, 0.0000), Ge at (0.3333, 0.6667, 0.0000) and Ge at (0.3880, 0.1940, 0.5000).

calculated density of number 2 (Nd2Co14B)? 8.5 g cm⁻³